# 1
Tb7Cu2Sn2 after structural relaxation, computed with PBE.

Output
Energy of formation: -0.16 eV per atom
Density: 7.8 g/cm³
E: -50.42 eV for the cell shown
V: 28.7 Å³ per atom

Lattice parameters (Å, degrees): 6.933 6.933 6.915 90.00 90.00 108.41
Sites, in units of the cell vectors:
Tb (0.000, 0.000, 0.000)
Tb (0.000, 0.500, 0.256)
Tb (0.000, 0.500, 0.744)
Tb (0.500, 0.000, 0.256)
Tb (0.500, 0.000, 0.744)
Tb (0.500, 0.500, 0.237)
Tb (0.500, 0.500, 0.763)
Cu (0.291, 0.709, 0.000)
Cu (0.709, 0.291, 0.000)
Sn (0.179, 0.179, 0.500)
Sn (0.821, 0.821, 0.500)

# 2
TbCuSn after structural relaxation, computed with PBE.

Output
Energy of formation: -0.54 eV per atom
Density: 8.6 g/cm³
E: -14.34 eV for the cell shown
V: 22.0 Å³ per atom

Lattice parameters (Å, degrees): 4.533 4.533 3.710 90.00 90.00 120.00
Sites, in units of the cell vectors:
Tb (0.000, 0.000, 0.000)
Cu (0.333, 0.667, 0.500)
Sn (0.667, 0.333, 0.500)

# 3
TbCuSn after structural relaxation, computed with PBE.

Output
Energy of formation: -0.61 eV per atom
Density: 8.6 g/cm³
E: -29.12 eV for the cell shown
V: 21.9 Å³ per atom

Lattice parameters (Å, degrees): 4.555 4.555 7.322 90.00 90.00 120.00
Sites, in units of the cell vectors:
Tb (0.000, 0.000, 0.000)
Tb (0.000, 0.000, 0.500)
Cu (0.333, 0.667, 0.179)
Cu (0.667, 0.333, 0.679)
Sn (0.333, 0.667, 0.769)
Sn (0.667, 0.333, 0.269)

# 4
Tb4Cu2Sn after structural relaxation, computed with PBE.

Output
Energy of formation: -0.31 eV per atom
Density: 8.3 g/cm³
E: -65.71 eV for the cell shown
V: 25.3 Å³ per atom

Lattice parameters (Å, degrees): 8.703 8.703 6.925 108.04 108.04 120.40
Sites, in units of the cell vectors:
Tb (0.027, 0.973, 0.500)
Tb (0.195, 0.685, 0.349)
Tb (0.424, 0.501, 0.629)
Tb (0.501, 0.424, 0.129)
Tb (0.572, 0.912, 0.166)
Tb (0.685, 0.195, 0.849)
Tb (0.912, 0.572, 0.666)
Tb (0.973, 0.027, 0.000)
Cu (0.308, 0.974, 0.869)
Cu (0.630, 0.803, 0.523)
Cu (0.803, 0.630, 0.023)
Cu (0.974, 0.308, 0.369)
Sn (0.103, 0.380, 0.833)
Sn (0.380, 0.103, 0.333)

# 5
Tb2CuSn3 after structural relaxation, computed with PBE.

Output
Energy of formation: -0.23 eV per atom
Density: 7.7 g/cm³
E: -53.48 eV for the cell shown
V: 26.6 Å³ per atom

Lattice parameters (Å, degrees): 7.864 7.864 5.696 90.00 90.00 64.98
Sites, in units of the cell vectors:
Tb (0.028, 0.694, 0.750)
Tb (0.306, 0.972, 0.750)
Tb (0.694, 0.028, 0.250)
Tb (0.972, 0.306, 0.250)
Cu (0.485, 0.515, 0.750)
Cu (0.515, 0.485, 0.250)
Sn (0.162, 0.838, 0.250)
Sn (0.326, 0.326, 0.000)
Sn (0.326, 0.326, 0.500)
Sn (0.674, 0.674, 0.000)
Sn (0.674, 0.674, 0.500)
Sn (0.838, 0.162, 0.750)

# 6
TbCuSn2 after structural relaxation, computed with PBE.

Output
Energy of formation: -0.47 eV per atom
Density: 8.4 g/cm³
E: -37.19 eV for the cell shown
V: 22.8 Å³ per atom

Lattice parameters (Å, degrees): 4.411 4.411 9.355 90.00 90.00 90.00
Sites, in units of the cell vectors:
Tb (0.250, 0.250, 0.232)
Tb (0.750, 0.750, 0.768)
Cu (0.250, 0.750, 0.000)
Cu (0.750, 0.250, 0.000)
Sn (0.250, 0.250, 0.832)
Sn (0.250, 0.750, 0.500)
Sn (0.750, 0.250, 0.500)
Sn (0.750, 0.750, 0.168)

# 7
Tb4CuSn after structural relaxation, computed with PBE.

Output
Energy of formation: -0.13 eV per atom
Density: 7.4 g/cm³
E: -54.76 eV for the cell shown
V: 30.5 Å³ per atom

Lattice parameters (Å, degrees): 7.310 7.330 6.840 90.00 94.01 90.00
Sites, in units of the cell vectors:
Tb (0.148, 0.167, 0.178)
Tb (0.148, 0.333, 0.678)
Tb (0.325, 0.646, 0.111)
Tb (0.325, 0.854, 0.611)
Tb (0.675, 0.146, 0.389)
Tb (0.675, 0.354, 0.889)
Tb (0.852, 0.667, 0.322)
Tb (0.852, 0.833, 0.822)
Cu (0.000, 0.000, 0.500)
Cu (0.000, 0.500, 0.000)
Sn (0.500, 0.000, 0.000)
Sn (0.500, 0.500, 0.500)

# 8
TbCu2Sn3 after structural relaxation, computed with PBE.

Output
Energy of formation: -0.04 eV per atom
Density: 7.4 g/cm³
E: -50.09 eV for the cell shown
V: 24.1 Å³ per atom

Lattice parameters (Å, degrees): 7.201 7.201 5.825 90.00 90.00 106.46
Sites, in units of the cell vectors:
Tb (0.237, 0.763, 0.750)
Tb (0.763, 0.237, 0.250)
Cu (0.355, 0.355, 0.000)
Cu (0.355, 0.355, 0.500)
Cu (0.645, 0.645, 0.000)
Cu (0.645, 0.645, 0.500)
Sn (0.049, 0.278, 0.750)
Sn (0.278, 0.049, 0.250)
Sn (0.345, 0.655, 0.250)
Sn (0.655, 0.345, 0.750)
Sn (0.722, 0.951, 0.750)
Sn (0.951, 0.722, 0.250)